Below is a relaxed structure of BaZn2GeOs, with properties calculated at the PBE level.

Lattice parameters (Å, degrees): 4.9847 4.9847 4.7459 90.00 90.00 90.00
Last column: nearest neighbours and their distance in Å.
Element x y z (fractional)
Zn 0.0000 0.5000 0.0000  2 Os 2.49
Os 0.0000 0.0000 0.0000  2 Ge 2.37, 4 Zn 2.49
Ge 0.0000 0.0000 0.5000  2 Os 2.37
Zn 0.5000 0.0000 0.0000  2 Os 2.49
Ba 0.5000 0.5000 0.5000  8 Zn 3.44, 4 Ge 3.52

Total magnetic moment: 0.0 μB/f.u.
Calculated formation energy: -0.241 eV/atom
SG: P4/mmm (123)